4
Lattice="5.1221 0.0000 0.0000 2.5611 4.4359 0.0000 2.5611 1.4786 4.1822" Properties=species:S:1:pos:R:3 comment="MnAgTe2 (PBE, relaxed)" total_magnetization_mub_per_fu=4.3 raw_formation_energy_ev_per_atom=0.48 pbc="T T T"
Ag 5.1221 2.9572 2.0911
Te 0.0000 0.0000 0.0000
Te 2.5611 1.4786 1.0455
Mn 7.6832 4.4359 3.1366